Here is LiTbPmOs after structural relaxation from Alexandria. Energies are from PBE.

Cell lengths 4.9702, 4.9702, 4.9702 Å; angles 60.00, 60.00, 60.00 degrees
Closest atoms and distances in Å follow each position.
Fractional coordinates of all 4 atoms:
Li: 0.0000 0.0000 0.0000  4 Pm 3.04, 4 Tb 3.04
Tb: 0.2500 0.2500 0.2500  4 Li 3.04, 4 Os 3.04
Pm: 0.7500 0.7500 0.7500  4 Li 3.04, 4 Os 3.04
Os: 0.5000 0.5000 0.5000  4 Tb 3.04, 4 Pm 3.04

Summary:
Magnetic moment: 0.0 μB per formula unit
VASP energy: -5.791 eV per atom
E_form: -160 meV per atom